Computed, not measured: an optimized crystal structure of USnRu2 at the PBE level of DFT.

Cell lengths 7.9912, 5.8101, 6.8717 Å; angles 90.00, 96.21, 90.00 degrees
With the nearest neighbours (Å) after each atom.
Atoms (fractional coordinates):
U: 0.1332 0.1585 0.2998  2 Ru 2.34
U: 0.1332 0.3415 0.7998  2 Ru 2.34
U: 0.8668 0.6585 0.2002  2 Ru 2.34
U: 0.8668 0.8415 0.7002  2 Ru 2.34
Sn: 0.3701 0.6202 0.1705  6 Ru 2.76-3.00
Sn: 0.3701 0.8798 0.6705  6 Ru 2.76-3.00
Sn: 0.6299 0.1202 0.3295  6 Ru 2.76-3.00
Sn: 0.6299 0.3798 0.8295  6 Ru 2.76-3.00
Ru: 0.1084 0.6670 0.4254  1 U 2.34
Ru: 0.1084 0.8330 0.9254  1 U 2.34
Ru: 0.3637 0.1792 0.9907  1 U 2.34
Ru: 0.3637 0.3208 0.4907  1 U 2.34
Ru: 0.6363 0.6792 0.5093  1 U 2.34
Ru: 0.6363 0.8208 0.0093  1 U 2.34
Ru: 0.8916 0.1670 0.0746  1 U 2.34
Ru: 0.8916 0.3330 0.5746  1 U 2.34

The total energy is -8.67 eV per atom. For the mass density, the calculation gives 11.70 g/cm3. Its calculated formation energy is -0.214 eV per atom. The magnetization comes out at 0.00 μB/atom.

=====

Computed, not measured: an optimized crystal structure of U3SnRu3 at the PBE level of DFT.

Cell lengths 7.7521, 7.7521, 7.7521 Å; angles 51.72, 51.72, 51.72 degrees
With the nearest neighbours (Å) after each atom.
Atoms (fractional coordinates):
U: 0.0195 0.6157 0.2458  3 Ru 2.67-2.89, 2 U 2.68
U: 0.2458 0.0195 0.6157  3 Ru 2.67-2.89, 2 U 2.68
U: 0.3843 0.7542 0.9805  3 Ru 2.67-2.89, 2 U 2.68
U: 0.6157 0.2458 0.0195  3 Ru 2.67-2.89, 2 U 2.68
U: 0.7542 0.9805 0.3843  3 Ru 2.67-2.89, 2 U 2.68
U: 0.9805 0.3843 0.7542  3 Ru 2.67-2.89, 2 U 2.68
Sn: 0.1652 0.1652 0.1652  6 Ru 2.83-2.87
Sn: 0.8348 0.8348 0.8348  6 Ru 2.83-2.87
Ru: 0.2033 0.6871 0.4419  3 U 2.67-2.89, 4 Ru 2.78-2.83, 2 Sn 2.83-2.87
Ru: 0.3129 0.5581 0.7967  3 U 2.67-2.89, 4 Ru 2.78-2.83, 2 Sn 2.83-2.87
Ru: 0.4419 0.2033 0.6871  3 U 2.67-2.89, 4 Ru 2.78-2.83, 2 Sn 2.83-2.87
Ru: 0.5581 0.7967 0.3129  3 U 2.67-2.89, 4 Ru 2.78-2.83, 2 Sn 2.83-2.87
Ru: 0.6871 0.4419 0.2033  3 U 2.67-2.89, 4 Ru 2.78-2.83, 2 Sn 2.83-2.87
Ru: 0.7967 0.3129 0.5581  3 U 2.67-2.89, 4 Ru 2.78-2.83, 2 Sn 2.83-2.87

The total energy is -9.49 eV per atom. For the mass density, the calculation gives 14.22 g/cm3. Its calculated formation energy is -0.104 eV per atom. The magnetization comes out at 0.00 μB/atom.

=====

Computed, not measured: an optimized crystal structure of V5SnRu6 at the PBE level of DFT.

Cell lengths 7.4738, 7.4738, 7.4738 Å; angles 146.67, 131.36, 60.24 degrees
With the nearest neighbours (Å) after each atom.
Atoms (fractional coordinates):
V: 0.0000 0.0000 0.0000  8 Ru 2.59-2.64
V: 0.1698 0.6698 0.5000  8 Ru 2.61-2.63
V: 0.3290 0.3290 0.0000  8 Ru 2.55-2.74
V: 0.6710 0.6710 0.0000  8 Ru 2.55-2.74
V: 0.8302 0.3302 0.5000  8 Ru 2.61-2.63
Sn: 0.5000 0.0000 0.5000  8 Ru 2.69-2.70
Ru: 0.0740 0.8312 0.2428  7 V 2.55-2.66, 1 Sn 2.70
Ru: 0.2364 0.5000 0.7364  6 V 2.59-2.74, 2 Sn 2.69
Ru: 0.4116 0.1688 0.2428  7 V 2.55-2.66, 1 Sn 2.70
Ru: 0.5884 0.8312 0.7572  7 V 2.55-2.66, 1 Sn 2.70
Ru: 0.7636 0.5000 0.2636  6 V 2.59-2.74, 2 Sn 2.69
Ru: 0.9260 0.1688 0.7572  7 V 2.55-2.66, 1 Sn 2.70

The total energy is -8.98 eV per atom. For the mass density, the calculation gives 9.54 g/cm3. Its calculated formation energy is -0.213 eV per atom. The magnetization comes out at 0.29 μB/atom.

=====

Computed, not measured: an optimized crystal structure of V3SnRu at the PBE level of DFT.

Cell lengths 4.5662, 4.5662, 4.5662 Å; angles 90.00, 90.00, 90.00 degrees
With the nearest neighbours (Å) after each atom.
Atoms (fractional coordinates):
V: 0.0000 0.0000 0.5000  2 Ru 2.28
V: 0.0000 0.5000 0.0000  2 Ru 2.28
V: 0.5000 0.0000 0.0000  2 Ru 2.28
Sn: 0.5000 0.5000 0.5000  12 V 3.23
Ru: 0.0000 0.0000 0.0000  6 V 2.28

The calculation puts the polymorph energy (0 for the lowest one) at 0.000 eV/atom. The total energy is -7.34 eV per atom. For the mass density, the calculation gives 6.50 g/cm3. Its calculated formation energy is 0.783 eV per atom. The magnetization comes out at 0.27 μB/atom.

=====

Computed, not measured: an optimized crystal structure of VSnRu3 at the PBE level of DFT.

Cell lengths 4.7979, 4.7979, 4.7979 Å; angles 90.00, 90.00, 90.00 degrees
With the nearest neighbours (Å) after each atom.
Atoms (fractional coordinates):
V: 0.0000 0.0000 0.0000  12 Ru 3.39
Sn: 0.5000 0.5000 0.5000  6 Ru 2.40
Ru: 0.0000 0.5000 0.5000  2 Sn 2.40
Ru: 0.5000 0.0000 0.5000  2 Sn 2.40
Ru: 0.5000 0.5000 0.0000  2 Sn 2.40

The calculation puts the polymorph energy (0 for the lowest one) at 0.950 eV/atom. The total energy is -6.35 eV per atom. For the mass density, the calculation gives 7.11 g/cm3. Its calculated formation energy is 1.842 eV per atom. The magnetization comes out at 0.18 μB/atom.

=====

Computed, not measured: an optimized crystal structure of VSn2Ru at the PBE level of DFT.

Cell lengths 9.9439, 9.9439, 9.9439 Å; angles 156.14, 156.14, 34.00 degrees
With the nearest neighbours (Å) after each atom.
Atoms (fractional coordinates):
V: 0.0000 0.0000 0.0000  4 Sn 2.79, 4 Ru 2.91
V: 0.7500 0.2500 0.5000  4 Sn 2.79, 4 Ru 2.91
Sn: 0.1269 0.6250 0.0019  2 Ru 2.78, 2 V 2.79, 4 Sn 2.90-2.92
Sn: 0.3750 0.3769 0.5019  2 Ru 2.78, 2 V 2.79, 4 Sn 2.90-2.92
Sn: 0.6231 0.1250 0.9981  2 Ru 2.78, 2 V 2.79, 4 Sn 2.90-2.92
Sn: 0.8750 0.8731 0.4981  2 Ru 2.78, 2 V 2.79, 4 Sn 2.90-2.92
Ru: 0.2500 0.7500 0.5000  4 Sn 2.78, 4 V 2.91
Ru: 0.5000 0.5000 0.0000  4 Sn 2.78, 4 V 2.91

The calculation puts the polymorph energy (0 for the lowest one) at 0.469 eV/atom. The total energy is -6.09 eV per atom. For the mass density, the calculation gives 8.04 g/cm3. Its calculated formation energy is 0.513 eV per atom. The magnetization comes out at 0.51 μB/atom.

=====

Computed, not measured: an optimized crystal structure of VSnRu2 at the PBE level of DFT.

Cell lengths 3.1293, 3.1293, 6.2348 Å; angles 90.00, 90.00, 90.00 degrees
With the nearest neighbours (Å) after each atom.
Atoms (fractional coordinates):
V: 0.0000 0.0000 0.0000  8 Ru 2.66
Sn: 0.0000 0.0000 0.5000  8 Ru 2.76
Ru: 0.5000 0.5000 0.2354  4 V 2.66, 4 Sn 2.76, 1 Ru 2.93
Ru: 0.5000 0.5000 0.7646  4 V 2.66, 4 Sn 2.76, 1 Ru 2.93

The total energy is -8.06 eV per atom. For the mass density, the calculation gives 10.11 g/cm3. Its calculated formation energy is -0.139 eV per atom. The magnetization comes out at 0.28 μB/atom.

=====

Computed, not measured: an optimized crystal structure of VSn3Ru at the PBE level of DFT.

Cell lengths 5.0915, 5.0915, 5.0915 Å; angles 90.00, 90.00, 90.00 degrees
With the nearest neighbours (Å) after each atom.
Atoms (fractional coordinates):
V: 0.0000 0.0000 0.0000  12 Sn 3.60
Sn: 0.0000 0.5000 0.5000  2 Ru 2.55
Sn: 0.5000 0.0000 0.5000  2 Ru 2.55
Sn: 0.5000 0.5000 0.0000  2 Ru 2.55
Ru: 0.5000 0.5000 0.5000  6 Sn 2.55

The calculation puts the polymorph energy (0 for the lowest one) at 0.000 eV/atom. The total energy is -5.42 eV per atom. For the mass density, the calculation gives 6.39 g/cm3. Its calculated formation energy is 0.662 eV per atom. The magnetization comes out at 0.77 μB/atom.

=====

Computed, not measured: an optimized crystal structure of VSnRu3 at the PBE level of DFT.

Cell lengths 4.4887, 4.4887, 4.4887 Å; angles 90.00, 90.00, 90.00 degrees
With the nearest neighbours (Å) after each atom.
Atoms (fractional coordinates):
V: 0.0000 0.0000 0.0000  6 Ru 2.24
Sn: 0.5000 0.5000 0.5000  12 Ru 3.17
Ru: 0.0000 0.0000 0.5000  2 V 2.24
Ru: 0.0000 0.5000 0.0000  2 V 2.24
Ru: 0.5000 0.0000 0.0000  2 V 2.24

The calculation puts the polymorph energy (0 for the lowest one) at 0.000 eV/atom. The total energy is -7.30 eV per atom. For the mass density, the calculation gives 8.68 g/cm3. Its calculated formation energy is 0.891 eV per atom. The magnetization comes out at 0.00 μB/atom.

=====

Computed, not measured: an optimized crystal structure of V2SnRu at the PBE level of DFT.

Cell lengths 8.7708, 8.7708, 8.7708 Å; angles 19.21, 19.21, 19.21 degrees
With the nearest neighbours (Å) after each atom.
Atoms (fractional coordinates):
V: 0.2429 0.2429 0.2429  3 Ru 2.59, 3 Sn 2.88
V: 0.7571 0.7571 0.7571  3 Ru 2.59, 3 Sn 2.88
Sn: 0.0000 0.0000 0.0000  6 V 2.88, 6 Sn 2.93
Ru: 0.5000 0.5000 0.5000  6 V 2.59

The total energy is -7.66 eV per atom. For the mass density, the calculation gives 8.37 g/cm3. Its calculated formation energy is 0.220 eV per atom. The magnetization comes out at 0.00 μB/atom.

=====

Computed, not measured: an optimized crystal structure of VSnRu2 at the PBE level of DFT.

Cell lengths 5.8590, 5.8590, 5.8590 Å; angles 152.23, 133.77, 54.78 degrees
With the nearest neighbours (Å) after each atom.
Atoms (fractional coordinates):
V: 0.0000 0.0000 0.0000  2 Ru 2.28
Sn: 0.5000 0.5000 0.0000  4 V 2.70, 2 Sn 2.81, 2 Ru 2.92
Ru: 0.2195 0.2195 0.0000  1 V 2.28
Ru: 0.7805 0.7805 0.0000  1 V 2.28

The total energy is -7.46 eV per atom. For the mass density, the calculation gives 9.18 g/cm3. Its calculated formation energy is 0.455 eV per atom. The magnetization comes out at 0.00 μB/atom.

=====

Computed, not measured: an optimized crystal structure of VSn2Ru2 at the PBE level of DFT.

Cell lengths 7.4044, 7.4044, 3.2333 Å; angles 90.00, 90.00, 90.00 degrees
With the nearest neighbours (Å) after each atom.
Atoms (fractional coordinates):
V: 0.0000 0.0000 0.0000  4 Ru 2.87, 8 Sn 3.21
V: 0.5000 0.5000 0.0000  4 Ru 2.87, 8 Sn 3.21
Sn: 0.1618 0.3382 0.5000  6 Ru 2.65-2.75
Sn: 0.3382 0.8382 0.5000  6 Ru 2.65-2.75
Sn: 0.6618 0.1618 0.5000  6 Ru 2.65-2.75
Sn: 0.8382 0.6618 0.5000  6 Ru 2.65-2.75
Ru: 0.1371 0.6371 0.0000  6 Sn 2.65-2.75, 1 Ru 2.87, 2 V 2.87
Ru: 0.3629 0.1371 0.0000  6 Sn 2.65-2.75, 1 Ru 2.87, 2 V 2.87
Ru: 0.6371 0.8629 0.0000  6 Sn 2.65-2.75, 1 Ru 2.87, 2 V 2.87
Ru: 0.8629 0.3629 0.0000  6 Sn 2.65-2.75, 1 Ru 2.87, 2 V 2.87

The total energy is -6.99 eV per atom. For the mass density, the calculation gives 9.19 g/cm3. Its calculated formation energy is 0.146 eV per atom. The magnetization comes out at 0.54 μB/atom.

=====

Number 1: density of states at the Fermi level 0.8943 states/eV per atom. Number 2: density of states at the Fermi level 1.8565 states/eV per atom. Number 3: density of states at the Fermi level 1.1953 states/eV per atom. Number 4: density of states at the Fermi level 1.1817 states/eV per atom. Number 5: density of states at the Fermi level 1.1050 states/eV per atom. Number 6: density of states at the Fermi level 1.3615 states/eV per atom. Number 7: density of states at the Fermi level 0.9462 states/eV per atom. Number 8: density of states at the Fermi level 2.1042 states/eV per atom. Number 9: density of states at the Fermi level 1.3718 states/eV per atom. Number 10: density of states at the Fermi level 1.5326 states/eV per atom. Number 11: density of states at the Fermi level 1.0143 states/eV per atom. Number 12: density of states at the Fermi level 1.0093 states/eV per atom.